# PrY2Sc2 (PBE, optimized geometry)
data_PrY2Sc2
_symmetry_space_group_name_H-M 'P 1'
_symmetry_Int_Tables_number 1
_symmetry_space_group_name_Hall 'P 1'
_cell_length_a 6.269
_cell_length_b 6.269
_cell_length_c 11.018
_cell_angle_alpha 96.88
_cell_angle_beta 96.88
_cell_angle_gamma 125.40
loop_
_atom_site_label
_atom_site_fract_x
_atom_site_fract_y
_atom_site_fract_z
_atom_site_occupancy
Sc1 0.625 0.375 0.750 1
Sc2 0.125 0.375 0.750 1
Sc3 0.625 0.875 0.250 1
Sc4 0.625 0.375 0.250 1
Y1 0.166 0.834 0.000 1
Y2 0.834 0.166 0.000 1
Y3 0.416 0.584 0.500 1
Y4 0.084 0.916 0.500 1
Pr1 0.750 0.250 0.500 1
Pr2 0.500 0.500 0.000 1
# total energy	-5.5393	eV per atom
# formation energy	535	meV/atom


# NaCS2N (PBE, optimized geometry)
data_NaCS2N
_symmetry_space_group_name_H-M 'P 1'
_symmetry_Int_Tables_number 1
_symmetry_space_group_name_Hall 'P 1'
_cell_length_a 5.786
_cell_length_b 5.786
_cell_length_c 2.442
_cell_angle_alpha 90.00
_cell_angle_beta 90.00
_cell_angle_gamma 90.00
loop_
_atom_site_label
_atom_site_fract_x
_atom_site_fract_y
_atom_site_fract_z
_atom_site_occupancy
N1 0.000 0.000 0.500 1
S1 0.500 0.000 0.000 1
S2 0.000 0.500 0.000 1
Na1 0.500 0.500 0.500 1
C1 0.000 0.000 0.000 1
# ΔE_f (raw)	0.385	eV/atom
# total energy	-5.0392	eV per atom


# Mg2HgHRu (PBE, optimized geometry)
data_Mg2HgHRu
_symmetry_space_group_name_H-M 'P 1'
_symmetry_Int_Tables_number 1
_symmetry_space_group_name_Hall 'P 1'
_cell_length_a 4.571
_cell_length_b 4.571
_cell_length_c 3.479
_cell_angle_alpha 90.00
_cell_angle_beta 90.00
_cell_angle_gamma 90.00
loop_
_atom_site_label
_atom_site_fract_x
_atom_site_fract_y
_atom_site_fract_z
_atom_site_occupancy
Mg1 0.500 0.000 0.000 1
Mg2 0.000 0.500 0.000 1
H1 0.000 0.000 0.000 1
Hg1 0.500 0.500 0.500 1
Ru1 0.000 0.000 0.500 1
# total energy	-3.3561	eV per atom